Density functional theory data (PBE-GGA) for a relaxed structure of B2C.

Cell lengths 4.0691, 5.2884, 5.3751 Å; angles 67.23, 74.84, 87.82 degrees
With the nearest neighbours (Å) after each atom.
Space group P1 (No. 1)
Symmetry-distinct sites (fractional):
B 0.0000 0.0000 0.0000  5 B 1.69-1.82
B 0.0016 0.7203 0.8809  1 C 1.58, 1 B 1.68
B 0.0255 0.6735 0.2418  1 C 1.59, 1 B 1.73
B 0.0645 0.0806 0.6340  2 C 1.57-1.66
B 0.3478 0.2441 0.7831  2 C 1.67-1.79, 4 B 1.77-1.87
B 0.3781 0.5947 0.7866  1 C 1.57, 1 B 1.68
B 0.6110 0.5232 0.4911  3 C 1.64-1.83, 2 B 1.79-1.80
B 0.6488 0.9879 0.8917  2 C 1.60-1.64, 1 B 1.69
C 0.3815 0.5394 0.2499  2 C 1.49-1.52, 1 B 1.59
C 0.4097 0.2507 0.4393  2 C 1.49, 1 B 1.57
C 0.6009 0.6692 0.9501  1 C 1.52, 3 B 1.57-1.60
C 0.7024 0.2024 0.5654  1 C 1.49, 3 B 1.64-1.66

Formation energy from the elements   0.62 eV/atom
Spin magnetization   0.00 Bohr magnetons per cell


Density functional theory data (PBE-GGA) for a relaxed structure of AlTl2Ir.

Cell lengths 5.7492, 10.6104, 3.2370 Å; angles 90.00, 122.52, 90.00 degrees
With the nearest neighbours (Å) after each atom.
Space group C2/m (No. 12)
Symmetry-distinct sites (fractional):
Al 0.0000 0.0000 0.0000  4 Ir 2.87-2.96, 4 Tl 3.02
Tl 0.2500 0.2500 0.0000  4 Tl 2.87-2.96, 2 Al 3.02, 2 Ir 3.02
Ir 0.0000 0.5000 0.0000  4 Al 2.87-2.96, 4 Tl 3.02

Formation energy from the elements   0.49 eV/atom
Spin magnetization   0.00 Bohr magnetons per cell


Density functional theory data (PBE-GGA) for a relaxed structure of ScBe2Ag.

Cell lengths 2.9097, 2.9097, 6.6556 Å; angles 90.00, 90.00, 90.00 degrees
With the nearest neighbours (Å) after each atom.
Space group P4mm (No. 99)
Symmetry-distinct sites (fractional):
Sc 0.0000 0.0000 0.0000  5 Be 2.75-2.81, 4 Sc 2.91, 4 Ag 3.05
Be 0.0000 0.0000 0.5782  4 Be 2.28
Be 0.5000 0.5000 0.7259  4 Be 2.28
Ag 0.5000 0.5000 0.3391  5 Be 2.57-2.60

Formation energy from the elements   0.06 eV/atom
Spin magnetization   0.03 Bohr magnetons per cell


Question: What is the formation energy from the elements in the third record?
Answer: 0.06 eV/atom


Repeat the third record exactly.
Density functional theory data (PBE-GGA) for a relaxed structure of ScBe2Ag.

Cell lengths 2.9097, 2.9097, 6.6556 Å; angles 90.00, 90.00, 90.00 degrees
With the nearest neighbours (Å) after each atom.
Space group P4mm (No. 99)
Symmetry-distinct sites (fractional):
Sc 0.0000 0.0000 0.0000  5 Be 2.75-2.81, 4 Sc 2.91, 4 Ag 3.05
Be 0.0000 0.0000 0.5782  4 Be 2.28
Be 0.5000 0.5000 0.7259  4 Be 2.28
Ag 0.5000 0.5000 0.3391  5 Be 2.57-2.60

Formation energy from the elements   0.06 eV/atom
Spin magnetization   0.03 Bohr magnetons per cell


Question: Look up the formation energy from the elements of the first one.
Answer: 0.62 eV/atom


Question: Look up the spin magnetization of the first one.
Answer: 0.00 Bohr magnetons per cell